HgPd12Au3 (GGA-PBE, optimized geometry); formation energy from the elements = -0.062 eV per atom; symmetry = P4/mmm; magnetic moment = 0.0 μB/cell; E = -73.4 eV per cell
1.0
4.017 0.000 0.000
0.000 4.017 0.000
0.000 0.000 16.038
Hg Pd Au
1 12 3
Direct
0.000 0.000 0.000 Hg
0.000 0.500 0.127 Pd
0.000 0.500 0.376 Pd
0.000 0.500 0.624 Pd
0.000 0.500 0.873 Pd
0.500 0.000 0.127 Pd
0.500 0.000 0.376 Pd
0.500 0.000 0.624 Pd
0.500 0.000 0.873 Pd
0.500 0.500 0.000 Pd
0.500 0.500 0.252 Pd
0.500 0.500 0.500 Pd
0.500 0.500 0.748 Pd
0.000 0.000 0.251 Au
0.000 0.000 0.500 Au
0.000 0.000 0.749 Au